Entry 1:
Compound: ZrZn2Ag
Source: the Alexandria database
Functional: PBE
Structure: optimized geometry

a b c (Å): 6.0295 8.7928 2.7313
angles (deg): 90.00 93.88 90.00
With the nearest neighbours (Å) after each atom.
Space group C2/m (No. 12)
Inequivalent atoms, fractional coordinates:
Zr 0.0000 0.0000 0.0000 x2  2 Zr 2.73, 8 Zn 2.95-3.04, 2 Ag 3.01
Zn 0.2500 0.2500 0.5000 x4  4 Zn 2.73-3.01, 4 Zr 2.95-3.04, 4 Ag 2.95-3.04
Ag 0.0000 0.5000 0.0000 x2  2 Ag 2.73, 8 Zn 2.95-3.04, 2 Zr 3.01

Properties
**ΔE_f**: 0.02 eV per formula unit

***

Entry 2:
Compound: BaBiTe2Se
Source: the Alexandria database
Functional: PBE
Structure: optimized geometry

a b c (Å): 5.6486 5.6486 5.6420
angles (deg): 90.00 90.00 90.00
With the nearest neighbours (Å) after each atom.
Space group P4/mmm (No. 123)
Inequivalent atoms, fractional coordinates:
Ba 0.0000 0.0000 0.0000 x1  8 Te 3.99, 4 Bi 3.99
Bi 0.5000 0.5000 0.0000 x1  2 Se 2.82
Te 0.0000 0.5000 0.5000 x2  2 Se 2.82
Se 0.5000 0.5000 0.5000 x1  2 Bi 2.82, 4 Te 2.82

Properties
**Energy relative to the elements, uncorrected**: -1.91 eV per formula unit

***

Entry 3:
Compound: SiNi2As
Source: the Alexandria database
Functional: PBE
Structure: optimized geometry

a b c (Å): 3.5702 3.5702 7.9607
angles (deg): 90.00 90.00 90.00
With the nearest neighbours (Å) after each atom.
Space group I-4m2 (No. 119)
Inequivalent atoms, fractional coordinates:
Si 0.0000 0.0000 0.0000 x2  8 Ni 2.52-2.67, 4 As 2.67
Ni 0.0000 0.0000 0.5000 x2  4 Si 2.52, 4 As 2.67, 4 Ni 2.67
Ni 0.0000 0.5000 0.2500 x2  4 As 2.52, 4 Ni 2.67, 4 Si 2.67
As 0.0000 0.5000 0.7500 x2  8 Ni 2.52-2.67, 4 Si 2.67

Properties
**Energy relative to the elements, uncorrected**: -0.25 eV per formula unit

***

Entry 4:
Compound: NpGa2Ge
Source: the Alexandria database
Functional: PBE
Structure: optimized geometry

a b c (Å): 4.4614 4.4614 14.4900
angles (deg): 90.00 90.00 120.00
With the nearest neighbours (Å) after each atom.
Space group R-3m (No. 166, hexagonal axes)
Inequivalent atoms, fractional coordinates:
Np 0.0000 0.0000 0.0000 x3  8 Ga 3.02-3.25
Ga 0.0000 0.0000 0.2241 x6  3 Ge 2.71, 3 Np 3.02
Ge 0.0000 0.0000 0.5000 x3  6 Ga 2.71

Properties
**ΔE_f**: 0.42 eV per formula unit
**Offset from the most stable computed form**: 1.40 eV/f.u.

***

no.,VASP energy (eV/cell)
1,-27.9
2,-17.5
3,-43.8
4,-69.6